No. 1
CrPWCl2: relaxed, PBE.

The structure in CIF format:
```
data_CrPWCl2
_cell_length_a 4.786
_cell_length_b 4.786
_cell_length_c 4.798
_cell_angle_alpha 90.00
_cell_angle_beta 90.00
_cell_angle_gamma 90.00
_space_group_name_H-M_alt 'P 4/m m m'
_space_group_IT_number 123
_space_group_name_Hall '-P 4 2'
loop_
_atom_site_label
_atom_site_fract_x
_atom_site_fract_y
_atom_site_fract_z
Cr1 0.000 0.000 0.000
P1 0.500 0.500 0.000
W1 0.500 0.500 0.500
Cl1 0.000 0.500 0.500
```

Computed properties:
As for the calculated volume: 109.9 Å³ per cell. The calculation puts the offset from the most stable computed form at 0.000 eV per atom. The raw formation energy comes out at 51 kJ per mole of atoms. Its magnetization is 5.24 μB/cell. As for the mass density: 5102 kg/m³.

***

No. 2
LaSiPd: relaxed, PBE.

The structure in CIF format:
```
data_LaSiPd
_cell_length_a 10.978
_cell_length_b 5.966
_cell_length_c 7.975
_cell_angle_alpha 90.00
_cell_angle_beta 92.25
_cell_angle_gamma 90.00
_space_group_name_H-M_alt 'P 1 21/c 1'
_space_group_IT_number 14
_space_group_name_Hall '-P 2ybc'
loop_
_atom_site_label
_atom_site_fract_x
_atom_site_fract_y
_atom_site_fract_z
La1 0.130 0.132 0.328
La2 0.359 0.637 0.468
Si1 0.077 0.631 0.467
Si2 0.358 0.143 0.628
Pd1 0.170 0.608 0.180
Pd2 0.447 0.100 0.340
```

Computed properties:
As for the calculated volume: 521.9 Å³ per cell. The raw formation energy comes out at -92 kJ per mole of atoms. Its magnetization is 0.00 μB/cell. As for the mass density: 6959 kg/m³.

***

No. 3
Li2CrRe: relaxed, PBE.

The structure in CIF format:
```
data_Li2CrRe
_cell_length_a 4.897
_cell_length_b 9.427
_cell_length_c 2.518
_cell_angle_alpha 90.00
_cell_angle_beta 110.27
_cell_angle_gamma 90.00
_space_group_name_H-M_alt 'C 1 2/m 1'
_space_group_IT_number 12
_space_group_name_Hall '-C 2y'
loop_
_atom_site_label
_atom_site_fract_x
_atom_site_fract_y
_atom_site_fract_z
Li1 0.250 0.250 0.000
Cr1 0.000 0.000 0.500
Re1 0.000 0.500 0.500
```

Computed properties:
As for the calculated volume: 109.0 Å³ per cell. The calculation puts the offset from the most stable computed form at 0.128 eV per atom. Its magnetization is 1.13 μB/cell. As for the mass density: 7679 kg/m³.

***

No. 4
Cu2Au: relaxed, PBE.

The structure in CIF format:
```
data_Cu2Au
_cell_length_a 2.730
_cell_length_b 4.057
_cell_length_c 16.604
_cell_angle_alpha 90.00
_cell_angle_beta 90.00
_cell_angle_gamma 90.00
_space_group_name_H-M_alt 'I m m a'
_space_group_IT_number 74
_space_group_name_Hall '-I 2b 2'
loop_
_atom_site_label
_atom_site_fract_x
_atom_site_fract_y
_atom_site_fract_z
Cu1 0.000 0.250 0.040
Cu2 0.000 0.250 0.189
Au1 0.000 0.250 0.614
```

Computed properties:
As for the calculated volume: 183.9 Å³ per cell. The calculation puts the offset from the most stable computed form at 0.160 eV per atom. Its magnetization is 0.00 μB/cell. As for the mass density: 11704 kg/m³.

***

No. 5
MnFeGe3: relaxed, PBE.

The structure in CIF format:
```
data_MnFeGe3
_cell_length_a 11.190
_cell_length_b 5.036
_cell_length_c 7.572
_cell_angle_alpha 90.00
_cell_angle_beta 132.43
_cell_angle_gamma 90.00
_space_group_name_H-M_alt 'C 1 2/m 1'
_space_group_IT_number 12
_space_group_name_Hall '-C 2y'
loop_
_atom_site_label
_atom_site_fract_x
_atom_site_fract_y
_atom_site_fract_z
Mn1 0.249 0.000 0.245
Fe1 0.000 0.000 0.500
Fe2 0.000 0.500 0.000
Ge1 0.084 0.250 0.834
Ge2 0.250 0.000 0.590
```

Computed properties:
As for the calculated volume: 314.9 Å³ per cell. The calculation puts the offset from the most stable computed form at 0.000 eV per atom. Its magnetization is 8.94 μB/cell. As for the mass density: 6933 kg/m³.

***

No. 6
MgCdInRu: relaxed, PBE.

The structure in CIF format:
```
data_MgCdInRu
_cell_length_a 6.645
_cell_length_b 6.645
_cell_length_c 6.645
_cell_angle_alpha 90.00
_cell_angle_beta 90.00
_cell_angle_gamma 90.00
_space_group_name_H-M_alt 'F -4 3 m'
_space_group_IT_number 216
_space_group_name_Hall 'F -4 2 3'
loop_
_atom_site_label
_atom_site_fract_x
_atom_site_fract_y
_atom_site_fract_z
Mg1 0.000 0.000 0.000
Cd1 0.250 0.250 0.750
In1 0.250 0.250 0.250
Ru1 0.000 0.000 0.500
```

Computed properties:
As for the calculated volume: 293.5 Å³ per cell. Its total DFT energy (no corrections) is -57.03 eV/cell. Its magnetization is 0.00 μB/cell. As for the mass density: 7981 kg/m³.

***

No. 7
Pm2DyI: relaxed, PBE.

The structure in CIF format:
```
data_Pm2DyI
_cell_length_a 3.7829
_cell_length_b 3.7829
_cell_length_c 32.1313
_cell_angle_alpha 90.00
_cell_angle_beta 90.00
_cell_angle_gamma 120.00
_space_group_name_H-M_alt 'R 3 m'
_space_group_IT_number 160
_space_group_name_Hall 'R 3 -2"'
loop_
_atom_site_label
_atom_site_fract_x
_atom_site_fract_y
_atom_site_fract_z
Pm1 0.0000 0.0000 0.0000
Pm2 0.0000 0.0000 0.1548
Dy1 0.0000 0.0000 0.5772
I1 0.0000 0.0000 0.7443
```

Computed properties:
As for the calculated volume: 398.2 Å³ per cell. The calculation puts the offset from the most stable computed form at 0.000 eV per atom. The raw formation energy comes out at -38 kJ per mole of atoms. Its magnetization is 0.40 μB/cell. As for the mass density: 7248 kg/m³.

***

No. 8
CdFe3Pd6: relaxed, PBE.

The structure in CIF format:
```
data_CdFe3Pd6
_cell_length_a 8.594
_cell_length_b 3.944
_cell_length_c 8.831
_cell_angle_alpha 90.00
_cell_angle_beta 91.95
_cell_angle_gamma 90.00
_space_group_name_H-M_alt 'P 1 21/m 1'
_space_group_IT_number 11
_space_group_name_Hall '-P 2yb'
loop_
_atom_site_label
_atom_site_fract_x
_atom_site_fract_y
_atom_site_fract_z
Cd1 0.056 0.250 0.393
Fe1 0.251 0.250 0.008
Fe2 0.349 0.750 0.805
Fe3 0.446 0.250 0.606
Pd1 0.060 0.750 0.906
Pd2 0.161 0.750 0.195
Pd3 0.165 0.250 0.713
Pd4 0.271 0.750 0.508
Pd5 0.373 0.250 0.303
Pd6 0.461 0.750 0.099
```

Computed properties:
As for the calculated volume: 299.2 Å³ per cell. Its total DFT energy (no corrections) is -117.62 eV/cell. Its magnetization is 21.84 μB/cell. As for the mass density: 10196 kg/m³.

***

No. 9
Mg5Ir3: relaxed, PBE.

The structure in CIF format:
```
data_Mg5Ir3
_cell_length_a 6.408
_cell_length_b 8.943
_cell_length_c 4.478
_cell_angle_alpha 90.00
_cell_angle_beta 90.00
_cell_angle_gamma 90.00
_space_group_name_H-M_alt 'C m m m'
_space_group_IT_number 65
_space_group_name_Hall '-C 2 2'
loop_
_atom_site_label
_atom_site_fract_x
_atom_site_fract_y
_atom_site_fract_z
Mg1 0.000 0.000 0.000
Mg2 0.228 0.500 0.500
Mg3 0.250 0.250 0.000
Ir1 0.000 0.239 0.500
Ir2 0.000 0.500 0.000
```

Computed properties:
As for the calculated volume: 256.6 Å³ per cell. The calculation puts the offset from the most stable computed form at 0.000 eV per atom. Its magnetization is 0.00 μB/cell. As for the mass density: 9036 kg/m³.

***

No. 10
Zn2Os: relaxed, PBE.

The structure in CIF format:
```
data_Zn2Os
_cell_length_a 2.700
_cell_length_b 2.700
_cell_length_c 24.656
_cell_angle_alpha 90.00
_cell_angle_beta 90.00
_cell_angle_gamma 90.00
_space_group_name_H-M_alt 'I 41/a m d'
_space_group_IT_number 141
loop_
_space_group_symop_operation_xyz
'x,y,z'
'-x,-y,-z'
'-y+1/4,x+3/4,z+1/4'
'y+1/4,-x+3/4,-z+1/4'
'-x+1/2,-y,z+1/2'
'x+1/2,y,-z+1/2'
'y+1/4,-x+1/4,z+3/4'
'-y+1/4,x+1/4,-z+3/4'
'x,-y,-z'
'-x,y,z'
'-y+1/4,-x+1/4,-z+3/4'
'y+1/4,x+1/4,z+3/4'
'-x+1/2,y,-z+1/2'
'x+1/2,-y,z+1/2'
'y+1/4,x+3/4,-z+1/4'
'-y+1/4,-x+3/4,z+1/4'
'x+1/2,y+1/2,z+1/2'
'-x+1/2,-y+1/2,-z+1/2'
'-y+3/4,x+1/4,z+3/4'
'y+3/4,-x+1/4,-z+3/4'
'-x,-y+1/2,z'
'x,y+1/2,-z'
'y+3/4,-x+3/4,z+1/4'
'-y+3/4,x+3/4,-z+1/4'
'x+1/2,-y+1/2,-z+1/2'
'-x+1/2,y+1/2,z+1/2'
'-y+3/4,-x+3/4,-z+1/4'
'y+3/4,x+3/4,z+1/4'
'-x,y+1/2,-z'
'x,-y+1/2,z'
'y+3/4,x+1/4,-z+3/4'
'-y+3/4,-x+1/4,z+3/4'
loop_
_atom_site_label
_atom_site_fract_x
_atom_site_fract_y
_atom_site_fract_z
Zn1 0.000 0.250 0.296
Os1 0.000 0.250 0.875
```

Computed properties:
As for the calculated volume: 179.7 Å³ per cell. Its total DFT energy (no corrections) is -51.55 eV/cell. Its magnetization is 0.00 μB/cell. As for the mass density: 11865 kg/m³.

***

No. 11
ScSnO: relaxed, PBE.

The structure in CIF format:
```
data_ScSnO
_cell_length_a 3.4924
_cell_length_b 3.4924
_cell_length_c 10.4417
_cell_angle_alpha 90.00
_cell_angle_beta 90.00
_cell_angle_gamma 120.00
_space_group_name_H-M_alt 'P -3 m 1'
_space_group_IT_number 164
_space_group_name_Hall '-P 3 2"'
loop_
_atom_site_label
_atom_site_fract_x
_atom_site_fract_y
_atom_site_fract_z
Sc1 0.3333 0.6667 0.3682
Sn1 0.0000 0.0000 0.1355
O1 0.3333 0.6667 0.5835
```

Computed properties:
As for the calculated volume: 110.3 Å³ per cell. The calculation puts the offset from the most stable computed form at 0.000 eV per atom. The raw formation energy comes out at -196 kJ per mole of atoms. Its magnetization is 0.00 μB/cell. As for the mass density: 5410 kg/m³.

***

No. 12
ZnP: relaxed, PBE.

The structure in CIF format:
```
data_ZnP
_cell_length_a 2.538
_cell_length_b 2.538
_cell_length_c 5.047
_cell_angle_alpha 90.00
_cell_angle_beta 90.00
_cell_angle_gamma 90.00
_space_group_name_H-M_alt 'P 4/m m m'
_space_group_IT_number 123
_space_group_name_Hall '-P 4 2'
loop_
_atom_site_label
_atom_site_fract_x
_atom_site_fract_y
_atom_site_fract_z
Zn1 0.000 0.000 0.000
P1 0.000 0.000 0.500
```

Computed properties:
As for the calculated volume: 32.5 Å³ per cell. Its total DFT energy (no corrections) is -6.13 eV/cell. Its magnetization is 0.00 μB/cell. As for the mass density: 4921 kg/m³.

***

No. 13
InReSb3: relaxed, PBE.

The structure in CIF format:
```
data_InReSb3
_cell_length_a 5.244
_cell_length_b 5.244
_cell_length_c 5.244
_cell_angle_alpha 90.00
_cell_angle_beta 90.00
_cell_angle_gamma 90.00
_space_group_name_H-M_alt 'P m -3 m'
_space_group_IT_number 221
_space_group_name_Hall '-P 4 2 3'
loop_
_atom_site_label
_atom_site_fract_x
_atom_site_fract_y
_atom_site_fract_z
In1 0.000 0.000 0.000
Re1 0.500 0.500 0.500
Sb1 0.000 0.500 0.500
```

Computed properties:
As for the calculated volume: 144.2 Å³ per cell. The calculation puts the offset from the most stable computed form at 0.000 eV per atom. The raw formation energy comes out at 56 kJ per mole of atoms. Its magnetization is 0.00 μB/cell. As for the mass density: 7674 kg/m³.

***

No. 14
AlTl: relaxed, PBE.

The structure in CIF format:
```
data_AlTl
_cell_length_a 4.336
_cell_length_b 4.263
_cell_length_c 5.801
_cell_angle_alpha 90.00
_cell_angle_beta 111.62
_cell_angle_gamma 90.00
_space_group_name_H-M_alt 'P 1 21/m 1'
_space_group_IT_number 11
_space_group_name_Hall '-P 2yb'
loop_
_atom_site_label
_atom_site_fract_x
_atom_site_fract_y
_atom_site_fract_z
Al1 0.073 0.250 0.150
Tl1 0.353 0.250 0.705
```

Computed properties:
As for the calculated volume: 99.7 Å³ per cell. Its total DFT energy (no corrections) is -11.30 eV/cell. Its magnetization is 0.00 μB/cell. As for the mass density: 7709 kg/m³.

***

No. 15
CsGa2GeSb: relaxed, PBE.

The structure in CIF format:
```
data_CsGa2GeSb
_cell_length_a 5.409
_cell_length_b 5.409
_cell_length_c 5.678
_cell_angle_alpha 90.00
_cell_angle_beta 90.00
_cell_angle_gamma 90.00
_space_group_name_H-M_alt 'P 4/m m m'
_space_group_IT_number 123
_space_group_name_Hall '-P 4 2'
loop_
_atom_site_label
_atom_site_fract_x
_atom_site_fract_y
_atom_site_fract_z
Cs1 0.000 0.000 0.000
Ga1 0.000 0.500 0.500
Ge1 0.500 0.500 0.500
Sb1 0.500 0.500 0.000
```

Computed properties:
As for the calculated volume: 166.1 Å³ per cell. The raw formation energy comes out at 18 kJ per mole of atoms. Its magnetization is 0.00 μB/cell. As for the mass density: 4666 kg/m³.

***

No. 16
SrMg2Cd: relaxed, PBE.

The structure in CIF format:
```
data_SrMg2Cd
_cell_length_a 3.7850
_cell_length_b 3.7850
_cell_length_c 29.8104
_cell_angle_alpha 90.00
_cell_angle_beta 90.00
_cell_angle_gamma 120.00
_space_group_name_H-M_alt 'R 3 m'
_space_group_IT_number 160
_space_group_name_Hall 'R 3 -2"'
loop_
_atom_site_label
_atom_site_fract_x
_atom_site_fract_y
_atom_site_fract_z
Sr1 0.0000 0.0000 0.0000
Mg1 0.0000 0.0000 0.2366
Mg2 0.0000 0.0000 0.4927
Cd1 0.0000 0.0000 0.7553
```

Computed properties:
As for the calculated volume: 369.8 Å³ per cell. Its total DFT energy (no corrections) is -16.46 eV/cell. Its magnetization is 0.00 μB/cell. As for the mass density: 3349 kg/m³.

***

No. 17
RbNa2SnHg: relaxed, PBE.

The structure in CIF format:
```
data_RbNa2SnHg
_cell_length_a 5.987
_cell_length_b 5.987
_cell_length_c 5.905
_cell_angle_alpha 90.00
_cell_angle_beta 90.00
_cell_angle_gamma 90.00
_space_group_name_H-M_alt 'P 4/m m m'
_space_group_IT_number 123
_space_group_name_Hall '-P 4 2'
loop_
_atom_site_label
_atom_site_fract_x
_atom_site_fract_y
_atom_site_fract_z
Rb1 0.000 0.000 0.000
Na1 0.000 0.500 0.500
Sn1 0.500 0.500 0.500
Hg1 0.500 0.500 0.000
```

Computed properties:
As for the calculated volume: 211.7 Å³ per cell. The calculation puts the offset from the most stable computed form at 0.000 eV per atom. Its magnetization is 0.00 μB/cell. As for the mass density: 3536 kg/m³.

***

No. 18
TcNi3Rh7: relaxed, PBE.

The structure in CIF format:
```
data_TcNi3Rh7
_cell_length_a 8.781
_cell_length_b 8.945
_cell_length_c 4.619
_cell_angle_alpha 90.00
_cell_angle_beta 117.54
_cell_angle_gamma 90.00
_space_group_name_H-M_alt 'C 1 2/m 1'
_space_group_IT_number 12
_space_group_name_Hall '-C 2y'
loop_
_atom_site_label
_atom_site_fract_x
_atom_site_fract_y
_atom_site_fract_z
Tc1 0.000 0.000 0.000
Ni1 0.000 0.273 0.500
Ni2 0.000 0.500 0.000
Rh1 0.000 0.000 0.500
Rh2 0.170 0.260 0.170
Rh3 0.179 0.500 0.594
```

Computed properties:
As for the calculated volume: 321.7 Å³ per cell. Its total DFT energy (no corrections) is -149.82 eV/cell. Its magnetization is 0.00 μB/cell. As for the mass density: 10267 kg/m³.

***

No. 19
Tb2SmPuSe4: relaxed, PBE.

The structure in CIF format:
```
data_Tb2SmPuSe4
_cell_length_a 7.153
_cell_length_b 4.106
_cell_length_c 7.160
_cell_angle_alpha 90.00
_cell_angle_beta 109.16
_cell_angle_gamma 90.00
_space_group_name_H-M_alt 'P 1 2/m 1'
_space_group_IT_number 10
_space_group_name_Hall '-P 2y'
loop_
_atom_site_label
_atom_site_fract_x
_atom_site_fract_y
_atom_site_fract_z
Tb1 0.000 0.000 0.000
Tb2 0.500 0.500 0.000
Sm1 0.000 0.500 0.500
Pu1 0.500 0.000 0.500
Se1 0.250 0.500 0.245
Se2 0.253 0.000 0.756
```

Computed properties:
As for the calculated volume: 198.7 Å³ per cell. The raw formation energy comes out at -168 kJ per mole of atoms. Its magnetization is 5.93 μB/cell. As for the mass density: 8592 kg/m³.

***

No. 20
Mg2MnC: relaxed, PBE.

The structure in CIF format:
```
data_Mg2MnC
_cell_length_a 8.354
_cell_length_b 8.354
_cell_length_c 3.796
_cell_angle_alpha 90.00
_cell_angle_beta 90.00
_cell_angle_gamma 90.00
_space_group_name_H-M_alt 'I -4 2 d'
_space_group_IT_number 122
_space_group_name_Hall 'I -4 2bw'
loop_
_atom_site_label
_atom_site_fract_x
_atom_site_fract_y
_atom_site_fract_z
Mg1 0.096 0.750 0.125
Mn1 0.000 0.000 0.500
C1 0.000 0.000 0.000
```

Computed properties:
As for the calculated volume: 264.9 Å³ per cell. Its total DFT energy (no corrections) is -80.10 eV/cell. Its magnetization is 10.08 μB/cell. As for the mass density: 2898 kg/m³.